Entry 1:
Below is Pr2ZnSnPt6 after structural relaxation, with properties calculated at the PBE level.

Cell lengths 5.6366, 5.6366, 24.8918 Å; angles 90.00, 90.00, 120.00 degrees
Space group R-3m (No. 166, hexagonal axes)
Asymmetric unit:
Pr  0.0000  0.0000  0.2021 [6 per cell]
Zn  0.0000  0.0000  0.5000 [3 per cell]
Sn  0.0000  0.0000  0.0000 [3 per cell]
Pt  0.0033  0.5017  0.2468 [18 per cell]

E_tot = -5.822 eV per atom
DOS(E_F) = 11.036 states/eV per cell
V = 22.8 Å³ per atom

Entry 2:
Below is Sr2PrPt9 after structural relaxation, with properties calculated at the PBE level.

Cell lengths 5.4935, 5.4935, 27.0200 Å; angles 90.00, 90.00, 120.00 degrees
Space group R-3m (No. 166, hexagonal axes)
Asymmetric unit:
Sr  0.0000  0.0000  0.1417 [6 per cell]
Pr  0.0000  0.0000  0.0000 [3 per cell]
Pt  0.0000  0.0000  0.3326 [6 per cell]
Pt  0.0000  0.0000  0.5000 [3 per cell]
Pt  0.0016  0.5008  0.9174 [18 per cell]

E_tot = -5.990 eV per atom
DOS(E_F) = 25.995 states/eV per cell
V = 19.6 Å³ per atom

Entry 3:
Below is SrPrPt after structural relaxation, with properties calculated at the PBE level.

Cell lengths 4.859, 13.749, 7.960 Å; angles 90.00, 90.00, 90.00 degrees
Space group Amm2 (No. 38)
Asymmetric unit:
Sr  0.000  0.000  0.000 [2 per cell]
Sr  0.000  0.207  0.620 [4 per cell]
Pr  0.500  0.000  0.667 [2 per cell]
Pr  0.500  0.127  0.286 [4 per cell]
Pt  0.000  0.000  0.413 [2 per cell]
Pt  0.500  0.166  0.914 [4 per cell]

E_tot = -4.850 eV per atom
DOS(E_F) = 16.916 states/eV per cell
Energy relative to the lowest polymorph listed for this composition = 3.26 kJ per mole of atoms
V = 29.5 Å³ per atom

Entry 4:
Below is SrPrPt after structural relaxation, with properties calculated at the PBE level.

Cell lengths 5.886, 5.886, 6.118 Å; angles 90.00, 90.00, 90.00 degrees
Space group P4/nmm (No. 129, origin choice 2)
Asymmetric unit:
Sr  0.250  0.250  0.012 [2 per cell]
Pr  0.250  0.750  0.500 [2 per cell]
Pt  0.250  0.250  0.515 [2 per cell]

E_tot = -4.884 eV per atom
DOS(E_F) = 3.493 states/eV per cell
Energy relative to the lowest polymorph listed for this composition = 0.00 kJ per mole of atoms
V = 35.3 Å³ per atom

> The highest E_tot belongs to which entry?

number 3

> The highest V belongs to which entry?

number 4

> Which value of DOS(E_F) does entry 4 give?

3.493 states/eV per cell